1.
Crystalline K8P2H at its relaxed geometry. Source: Alexandria, functional GGA-PBE.

Lattice parameters (Å, degrees): 19.623 5.056 9.012 90.00 92.71 90.00
Space group C2/m (No. 12)
Inequivalent atoms, fractional coordinates:
1 K 0.031 0.000 0.320 (multiplicity 4)
2 K 0.114 0.500 0.067 (multiplicity 4)
3 K 0.176 0.500 0.485 (multiplicity 4)
4 K 0.212 0.000 0.850 (multiplicity 4)
5 P 0.190 0.000 0.237 (multiplicity 4)
6 H 0.000 0.500 0.500 (multiplicity 2)

Calculated values
The volume comes out at 893.16 Å³/cell. The crystal system is monoclinic. For the total magnetization, the calculation gives 0.00 Bohr magnetons per cell. For the total energy, the calculation gives -2.2175 eV per atom.

2.
Crystalline K2PH6 at its relaxed geometry. Source: Alexandria, functional GGA-PBE.

Lattice parameters (Å, degrees): 5.5306 5.5306 4.7046 90.00 90.00 120.00
Space group P-3m1 (No. 164)
Inequivalent atoms, fractional coordinates:
1 K 0.3333 0.6667 0.2595 (multiplicity 2)
2 P 0.0000 0.0000 0.0000 (multiplicity 1)
3 H 0.1337 0.2674 0.8099 (multiplicity 6)

Calculated values
The volume comes out at 124.64 Å³/cell. The crystal system is trigonal. For the total magnetization, the calculation gives 0.00 Bohr magnetons per cell. For the total energy, the calculation gives -3.1027 eV per atom.